A plane-wave DFT calculation with PBEsol was carried out for TcSbH3 after structural relaxation.

The structure in CIF format:
```
data_TcSbH3
_symmetry_space_group_name_H-M 'P m -3 m'
_symmetry_Int_Tables_number 221
_symmetry_space_group_name_Hall '-P 4 2 3'
_cell_length_a 3.8499
_cell_length_b 3.8499
_cell_length_c 3.8499
_cell_angle_alpha 90.00
_cell_angle_beta 90.00
_cell_angle_gamma 90.00
loop_
_atom_site_label
_atom_site_type_symbol
_atom_site_fract_x
_atom_site_fract_y
_atom_site_fract_z
Tc1 Tc 0.0000 0.0000 0.0000
Sb1 Sb 0.5000 0.5000 0.5000
H1 H 0.0000 0.5000 0.5000
```

Summary:
E	-18.85	eV for the cell shown
crystal system	cubic
magnetization	3.0	μB per formula unit
D(E_F)	3.36	states/eV/cell

=====

A plane-wave DFT calculation with PBEsol was carried out for MgZrTe2 after structural relaxation.

The structure in CIF format:
```
data_MgZrTe2
_symmetry_space_group_name_H-M 'P 1 2/m 1'
_symmetry_Int_Tables_number 10
_symmetry_space_group_name_Hall '-P 2y'
_cell_length_a 3.6396
_cell_length_b 3.6367
_cell_length_c 7.1273
_cell_angle_alpha 90.00
_cell_angle_beta 97.74
_cell_angle_gamma 90.00
loop_
_atom_site_label
_atom_site_type_symbol
_atom_site_fract_x
_atom_site_fract_y
_atom_site_fract_z
Mg1 Mg 0.0000 0.0000 0.0000
Zr1 Zr 0.0000 0.0000 0.5000
Te1 Te 0.4388 0.5000 0.2674
```

Summary:
E	-20.74	eV for the cell shown
crystal system	monoclinic
formation energy from raw total energies	-0.721	eV per atom
magnetization	0.0	μB per formula unit
D(E_F)	1.13	states/eV/cell

=====

A plane-wave DFT calculation with PBEsol was carried out for MoOs3F after structural relaxation.

The structure in CIF format:
```
data_MoOs3F
_symmetry_space_group_name_H-M 'P m -3 m'
_symmetry_Int_Tables_number 221
_symmetry_space_group_name_Hall '-P 4 2 3'
_cell_length_a 4.1333
_cell_length_b 4.1333
_cell_length_c 4.1333
_cell_angle_alpha 90.00
_cell_angle_beta 90.00
_cell_angle_gamma 90.00
loop_
_atom_site_label
_atom_site_type_symbol
_atom_site_fract_x
_atom_site_fract_y
_atom_site_fract_z
Mo1 Mo 0.0000 0.0000 0.0000
Os1 Os 0.0000 0.5000 0.5000
F1 F 0.5000 0.5000 0.5000
```

Summary:
E	-42.92	eV for the cell shown
crystal system	cubic
formation energy from raw total energies	1.484	eV per atom
magnetization	0.6	μB per formula unit
D(E_F)	7.32	states/eV/cell

=====

Which of these has the lowest magnetization? MgZrTe2